Record 1
This record from Alexandria via LeMat-Bulk describes a relaxed structure of Pm12Dy2Er5. The functional is GGA-PBE.

Computed properties:
DOS(E_F)	25.046	states/eV/cell
total moment	0.00	Bohr magnetons per cell
calculated formation energy	137	meV/atom
crystal system	monoclinic
calculated density	7.5	g/cm3
space-group type	C2/m, No. 12
relative energy among the computed polymorphs	0.016	eV/atom
E_tot	-4.548	eV/atom

Unit cell a=9.3733 b=9.3734 c=8.3986 alpha=89.78 beta=90.00 gamma=120.00
With the nearest neighbours (Å) after each atom.
Element x y z (fractional)
Pm: 0.5503 0.1006 0.2886  2 Er 3.32-3.57, 6 Pm 3.38-3.60, 2 Dy 3.67
Pm: 0.0277 0.6342 0.7790  4 Er 3.48-3.65, 5 Pm 3.51-3.78, 1 Dy 3.51
Pm: 0.1615 0.3229 0.8706  2 Er 3.15-3.51, 2 Pm 3.47, 2 Dy 3.50
Pm: 0.8284 0.2165 0.6212  4 Er 3.32-3.56, 5 Pm 3.38-3.65, 1 Dy 3.67
Pm: 0.9723 0.3658 0.2210  4 Er 3.48-3.65, 5 Pm 3.51-3.78, 1 Dy 3.51
Pm: 0.8385 0.6771 0.1294  2 Er 3.15-3.51, 2 Pm 3.47, 2 Dy 3.50
Pm: 0.6065 0.6342 0.7790  4 Er 3.48-3.65, 5 Pm 3.51-3.78, 1 Dy 3.51
Pm: 0.3935 0.3658 0.2210  4 Er 3.48-3.65, 5 Pm 3.51-3.78, 1 Dy 3.51
Pm: 0.6120 0.7835 0.3788  4 Er 3.32-3.56, 5 Pm 3.38-3.65, 1 Dy 3.67
Pm: 0.4497 0.8994 0.7114  2 Er 3.32-3.57, 6 Pm 3.38-3.60, 2 Dy 3.67
Pm: 0.3880 0.2165 0.6212  4 Er 3.32-3.56, 5 Pm 3.38-3.65, 1 Dy 3.67
Pm: 0.1716 0.7835 0.3788  4 Er 3.32-3.56, 5 Pm 3.38-3.65, 1 Dy 3.67
Er: 0.6466 0.2932 0.9396  8 Pm 3.32-3.65, 2 Dy 3.58
Er: 0.7500 0.5001 0.4643  5 Pm 3.15-3.48
Er: 0.3534 0.7068 0.0604  8 Pm 3.32-3.65, 2 Dy 3.58
Er: 0.0000 0.0000 0.5000  4 Pm 3.32
Er: 0.2500 0.4999 0.5357  5 Pm 3.15-3.48
Dy: 0.2194 0.0000 0.0000  8 Pm 3.50-3.67, 2 Er 3.58
Dy: 0.7806 0.0000 0.0000  8 Pm 3.50-3.67, 2 Er 3.58

=====

Record 2
This record from Alexandria via LeMat-Bulk describes a relaxed structure of Tb5Pm2YTm. The functional is GGA-PBE.

Computed properties:
DOS(E_F)	25.501	states/eV/cell
total moment	0.00	Bohr magnetons per cell
calculated formation energy	277	meV/atom
crystal system	tetragonal
calculated density	7.6	g/cm3
space-group type	I4/mcm, No. 140
E_tot	-4.566	eV/atom

Unit cell a=8.6103 b=8.6103 c=9.9937 alpha=115.52 beta=115.52 gamma=90.00
With the nearest neighbours (Å) after each atom.
Element x y z (fractional)
Pm: 0.8818 0.6182 0.0000  1 Pm 2.88, 2 Tb 3.03
Pm: 0.1182 0.3818 0.0000  1 Pm 2.88, 2 Tb 3.03
Pm: 0.3818 0.8818 0.0000  1 Pm 2.88, 2 Tb 3.03
Pm: 0.6182 0.1182 0.0000  1 Pm 2.88, 2 Tb 3.03
Y: 0.2500 0.2500 0.5000  8 Tb 3.53
Y: 0.7500 0.7500 0.5000  8 Tb 3.53
Tm: 0.7500 0.2500 0.5000  4 Tb 3.12
Tm: 0.2500 0.7500 0.5000  4 Tb 3.12
Tb: 0.0000 0.0000 0.0000  4 Pm 3.44, 8 Tb 3.80
Tb: 0.5000 0.5000 0.0000  4 Pm 3.44, 8 Tb 3.80
Tb: 0.9273 0.4273 0.2811  1 Pm 3.03, 1 Tm 3.12
Tb: 0.0727 0.5727 0.7189  1 Pm 3.03, 1 Tm 3.12
Tb: 0.5727 0.6462 0.7189  1 Pm 3.03, 1 Tm 3.12
Tb: 0.6462 0.1462 0.7189  1 Pm 3.03, 1 Tm 3.12
Tb: 0.1462 0.0727 0.7189  1 Pm 3.03, 1 Tm 3.12
Tb: 0.8538 0.9273 0.2811  1 Pm 3.03, 1 Tm 3.12
Tb: 0.3538 0.8538 0.2811  1 Pm 3.03, 1 Tm 3.12
Tb: 0.4273 0.3538 0.2811  1 Pm 3.03, 1 Tm 3.12

=====

Record 3
This record from Alexandria via LeMat-Bulk describes a relaxed structure of La14AlHg. The functional is GGA-PBE.

Computed properties:
DOS(E_F)	24.640	states/eV/cell
total moment	0.00	Bohr magnetons per cell
calculated formation energy	-77	meV/atom
crystal system	tetragonal
calculated density	6.7	g/cm3
space-group type	P4/mmm, No. 123
E_tot	-4.641	eV/atom

Unit cell a=7.1840 b=7.1840 c=10.4608 alpha=90.00 beta=90.00 gamma=90.00
With the nearest neighbours (Å) after each atom.
Element x y z (fractional)
La: 0.1289 0.1289 0.2605  10 La 3.54-3.75, 1 Al 3.54, 1 Hg 3.60
La: 0.8750 0.3750 0.5000  8 La 3.57, 2 Hg 3.59, 2 Al 3.59
La: 0.3750 0.8750 0.0000  12 La 3.59-3.73
La: 0.3750 0.3750 0.0000  12 La 3.59-3.70
La: 0.3750 0.8750 0.5000  8 La 3.57, 2 Hg 3.59, 2 Al 3.59
La: 0.1289 0.1289 0.7395  10 La 3.54-3.75, 1 Al 3.54, 1 Hg 3.60
La: 0.1289 0.6211 0.7395  10 La 3.54-3.75, 1 Al 3.54, 1 Hg 3.60
La: 0.6211 0.6211 0.2605  10 La 3.54-3.75, 1 Al 3.54, 1 Hg 3.60
La: 0.1289 0.6211 0.2605  10 La 3.54-3.75, 1 Al 3.54, 1 Hg 3.60
La: 0.6211 0.1289 0.2605  10 La 3.54-3.75, 1 Al 3.54, 1 Hg 3.60
La: 0.8750 0.3750 0.0000  12 La 3.59-3.73
La: 0.6211 0.1289 0.7395  10 La 3.54-3.75, 1 Al 3.54, 1 Hg 3.60
La: 0.6211 0.6211 0.7395  10 La 3.54-3.75, 1 Al 3.54, 1 Hg 3.60
La: 0.8750 0.8750 0.0000  12 La 3.59-3.75
Hg: 0.8750 0.8750 0.5000  12 La 3.59-3.60
Al: 0.3750 0.3750 0.5000  12 La 3.54-3.59

=====

Record 4
This record from Alexandria via LeMat-Bulk describes a relaxed structure of U2MnRu. The functional is GGA-PBE.

Computed properties:
DOS(E_F)	8.831	states/eV/cell
total moment	1.78	Bohr magnetons per cell
calculated formation energy	317	meV/atom
crystal system	trigonal
calculated density	14.9	g/cm3
space-group type	R-3m, No. 166
E_tot	-9.939	eV/atom

Unit cell a=3.0762 b=3.0762 c=8.7946 alpha=79.93 beta=79.93 gamma=60.00
With the nearest neighbours (Å) after each atom.
Element x y z (fractional)
Ru: 0.5000 0.5000 0.5000  6 U 2.86, 6 Ru 3.08
Mn: 0.0000 0.0000 0.0000  6 U 2.72
U: 0.2534 0.2534 0.2399  3 Mn 2.72, 3 Ru 2.86
U: 0.7466 0.7466 0.7601  3 Mn 2.72, 3 Ru 2.86

=====

Record 5
This record from Alexandria via LeMat-Bulk describes a relaxed structure of Ca3CeHf2P6. The functional is GGA-PBE.

Computed properties:
DOS(E_F)	0.159	states/eV/cell
total moment	0.00	Bohr magnetons per cell
calculated formation energy	-1268	meV/atom
crystal system	monoclinic
calculated density	5.0	g/cm3
space-group type	C2/m, No. 12
E_tot	-6.627	eV/atom

Unit cell a=6.8139 b=6.8139 c=6.9915 alpha=99.38 beta=99.38 gamma=120.04
With the nearest neighbours (Å) after each atom.
Element x y z (fractional)
Ca: 0.5000 0.5000 0.5000  6 P 2.85-2.94
Ca: 0.8362 0.1638 0.5000  6 P 2.86-2.95
Ca: 0.1638 0.8362 0.5000  6 P 2.86-2.95
Hf: 0.3328 0.6672 0.0000  6 P 2.67-2.68
Hf: 0.6672 0.3328 0.0000  6 P 2.67-2.68
P: 0.7285 0.7285 0.2236  2 Hf 2.68, 1 Ce 2.78, 3 Ca 2.85-2.93
P: 0.0752 0.4212 0.2247  2 Hf 2.67-2.68, 1 Ce 2.79, 3 Ca 2.86-2.95
P: 0.2715 0.2715 0.7764  2 Hf 2.68, 1 Ce 2.78, 3 Ca 2.85-2.93
P: 0.9248 0.5788 0.7753  2 Hf 2.67-2.68, 1 Ce 2.79, 3 Ca 2.86-2.95
P: 0.4212 0.0752 0.2247  2 Hf 2.67-2.68, 1 Ce 2.79, 3 Ca 2.86-2.95
P: 0.5788 0.9248 0.7753  2 Hf 2.67-2.68, 1 Ce 2.79, 3 Ca 2.86-2.95
Ce: 0.0000 0.0000 0.0000  6 P 2.78-2.79

=====

Record 6
This record from Alexandria via LeMat-Bulk describes a relaxed structure of LiCd6Au2. The functional is GGA-PBE.

Computed properties:
DOS(E_F)	4.867	states/eV/cell
total moment	0.00	Bohr magnetons per cell
calculated formation energy	-152	meV/atom
crystal system	monoclinic
calculated density	9.7	g/cm3
space-group type	P2_1/c, No. 14
relative energy among the computed polymorphs	0.020	eV/atom
E_tot	-1.703	eV/atom

Unit cell a=5.1452 b=8.2588 c=8.6777 alpha=90.00 beta=87.11 gamma=90.00
With the nearest neighbours (Å) after each atom.
Element x y z (fractional)
Au: 0.8953 0.3806 0.7649  9 Cd 2.85-3.04, 1 Li 2.98
Au: 0.1047 0.6194 0.2351  9 Cd 2.85-3.04, 1 Li 2.98
Au: 0.3953 0.1194 0.2649  9 Cd 2.85-3.04, 1 Li 2.98
Au: 0.6047 0.8806 0.7351  9 Cd 2.85-3.04, 1 Li 2.98
Cd: 0.5603 0.1700 0.9436  1 Li 2.78, 3 Au 2.85-3.00, 3 Cd 2.94-3.03
Cd: 0.5925 0.4627 0.3094  1 Li 2.77, 3 Au 2.92-3.04, 2 Cd 2.94-3.10
Cd: 0.9397 0.6700 0.5564  1 Li 2.78, 3 Au 2.85-3.00, 3 Cd 2.94-3.03
Cd: 0.0331 0.3129 0.0820  3 Au 2.89-2.97, 1 Li 2.91, 5 Cd 3.01-3.18
Cd: 0.4397 0.8300 0.0564  1 Li 2.78, 3 Au 2.85-3.00, 3 Cd 2.94-3.03
Cd: 0.4075 0.5373 0.6906  1 Li 2.77, 3 Au 2.92-3.04, 2 Cd 2.94-3.10
Cd: 0.4669 0.8129 0.4180  3 Au 2.89-2.97, 1 Li 2.91, 5 Cd 3.01-3.18
Cd: 0.0603 0.3300 0.4436  1 Li 2.78, 3 Au 2.85-3.00, 3 Cd 2.94-3.03
Cd: 0.0925 0.0373 0.8094  1 Li 2.77, 3 Au 2.92-3.04, 2 Cd 2.94-3.10
Cd: 0.5331 0.1871 0.5820  3 Au 2.89-2.97, 1 Li 2.91, 5 Cd 3.01-3.18
Cd: 0.9075 0.9627 0.1906  1 Li 2.77, 3 Au 2.92-3.04, 2 Cd 2.94-3.10
Cd: 0.9669 0.6871 0.9180  3 Au 2.89-2.97, 1 Li 2.91, 5 Cd 3.01-3.18
Li: 0.0000 0.0000 0.5000  6 Cd 2.77-2.91, 2 Au 2.98
Li: 0.5000 0.5000 0.0000  6 Cd 2.77-2.91, 2 Au 2.98

=====

Record 7
This record from Alexandria via LeMat-Bulk describes a relaxed structure of CeB2Rh5Au. The functional is GGA-PBE.

Computed properties:
DOS(E_F)	9.419	states/eV/cell
total moment	0.00	Bohr magnetons per cell
calculated formation energy	-285	meV/atom
crystal system	tetragonal
calculated density	10.6	g/cm3
space-group type	P4/mmm, No. 123
E_tot	-6.876	eV/atom

Unit cell a=4.1741 b=4.1741 c=7.8469 alpha=90.00 beta=90.00 gamma=90.00
With the nearest neighbours (Å) after each atom.
Element x y z (fractional)
Rh: 0.0000 0.5000 0.7614  2 B 2.10
Rh: 0.5000 0.0000 0.7614  2 B 2.10
Rh: 0.5000 0.5000 0.5000  2 B 2.24
Rh: 0.5000 0.0000 0.2386  2 B 2.10
Rh: 0.0000 0.5000 0.2386  2 B 2.10
Au: 0.0000 0.0000 0.0000  8 Rh 2.80
Ce: 0.0000 0.0000 0.5000  12 Rh 2.93-2.95
B: 0.5000 0.5000 0.2140  5 Rh 2.10-2.24
B: 0.5000 0.5000 0.7860  5 Rh 2.10-2.24

=====

Record 8
This record from Alexandria via LeMat-Bulk describes a relaxed structure of ScTe2S6. The functional is GGA-PBE.

Computed properties:
DOS(E_F)	5.533	states/eV/cell
total moment	0.00	Bohr magnetons per cell
crystal system	monoclinic
calculated density	3.4	g/cm3
space-group type	C2/m, No. 12
ΔE_f (raw)	-0.402	eV/atom
E_tot	-4.555	eV/atom

Unit cell a=3.7106 b=6.8726 c=11.1253 alpha=117.86 beta=90.00 gamma=105.66
With the nearest neighbours (Å) after each atom.
Element x y z (fractional)
Te: 0.6672 0.3345 0.8230  5 S 2.49-2.66
Te: 0.3328 0.6655 0.1770  5 S 2.49-2.66
Sc: 0.0000 0.0000 0.5000  6 S 2.59-2.61
S: 0.3283 0.6567 0.9169  3 Te 2.63-2.87
S: 0.9969 0.9938 0.2651  1 Sc 2.59, 2 Te 2.66
S: 0.3419 0.6837 0.4059  1 Te 2.49, 2 Sc 2.61
S: 0.6717 0.3433 0.0831  3 Te 2.63-2.87
S: 0.6581 0.3163 0.5941  1 Te 2.49, 2 Sc 2.61
S: 0.0031 0.0062 0.7349  1 Sc 2.59, 2 Te 2.66